Ta2AlSb | the Alexandria database | PBEsol | relaxed; offset from the most stable computed form = 181 meV per atom; formation energy (no corrections) = 0.2741 eV/atom; SG = F-43m, No. 216; DOS at the Fermi energy = 4.1 states/eV/f.u.
1.0
4.666 0.000 0.000
2.333 4.040 0.000
2.333 1.347 3.809
Ta Sb Al
2 1 1
Direct
0.750 0.750 0.750
0.000 0.000 0.000
0.250 0.250 0.250
0.500 0.500 0.500